(1)
Material: Ho2AlZn
Method: DFT, GGA-PBE
State: optimized geometry

```
Ho2AlZn
1.0
3.553 0.000 0.000
0.000 3.553 0.000
0.000 0.000 7.204
Ho Al Zn
2 1 1
Direct
0.000 0.000 0.245
0.000 0.000 0.755
0.500 0.500 0.500
0.500 0.500 0.000
```

Summary:
For the total magnetization, the calculation gives 0.000 μB/atom. For the formation energy from the elements, the calculation gives -0.383 eV per atom.

***

(2)
Material: CaSe2F
Method: DFT, GGA-PBE
State: optimized geometry

```
CaSe2F
1.0
-1.897 1.897 11.356
1.897 -1.897 11.356
1.897 1.897 -11.356
Ca Se F
2 4 2
Direct
0.000 0.000 0.000
0.750 0.250 0.500
0.124 0.625 0.999
0.375 0.374 0.499
0.626 0.125 0.001
0.875 0.876 0.501
0.250 0.750 0.500
0.500 0.500 0.000
```

Summary:
The calculation puts the energy relative to the elements, uncorrected at -1.61 eV per atom. For the total magnetization, the calculation gives 0.000 μB/atom.

***

The records above give, respectively, E values of -15.70 -34.55 eV for the cell shown.